1.
Material: Ho4CoRh
Method: DFT, PBE
State: optimized geometry

Geometry as POSCAR:
```
Ho4CoRh
1.0
5.775 0.127 -2.016
-2.462 6.213 -2.983
0.136 0.105 7.842
Ho Rh Co
8 2 2
Direct
0.370 0.643 0.877
0.206 0.309 0.358
0.992 0.766 0.123
0.630 0.357 0.123
0.349 0.952 0.642
0.008 0.234 0.877
0.794 0.691 0.642
0.651 0.048 0.358
0.389 0.639 0.278
0.611 0.361 0.722
0.252 0.002 0.004
0.748 0.998 0.996
```

Values from the calculation:
excess energy over the best structure of this formula in the dataset = 0.0 meV/atom
energy of formation from the pure elements = -414 meV per atom

2.
Material: LiCd4Tc4O12
Method: DFT, PBE
State: optimized geometry

Geometry as POSCAR:
```
LiCd4Tc4O12
1.0
5.545 -0.012 -0.007
-0.014 5.627 0.013
-0.294 -0.137 7.911
O Li Tc Cd
12 1 4 4
Direct
0.789 0.195 0.948
0.683 0.689 0.947
0.291 0.289 0.060
0.714 0.712 0.560
0.819 0.210 0.557
0.193 0.795 0.052
0.318 0.317 0.446
0.201 0.820 0.439
0.897 0.461 0.248
0.386 0.042 0.742
0.610 0.954 0.247
0.107 0.536 0.751
0.132 0.106 0.568
0.487 0.998 0.996
0.526 0.004 0.493
0.995 0.490 0.000
0.007 0.521 0.495
0.008 0.048 0.233
0.957 0.916 0.793
0.511 0.453 0.739
0.493 0.545 0.244
```

Values from the calculation:
energy relative to the elements, uncorrected = -1.100 eV/atom
excess energy over the best structure of this formula in the dataset = 4.8 meV/atom

3.
Material: Pm6Y2Ho3
Method: DFT, PBE
State: optimized geometry

Geometry as POSCAR:
```
Pm6Y2Ho3
1.0
-2.842 0.332 2.193
-3.338 -0.001 -1.362
-3.344 -31.892 3.454
Y Pm Ho
2 6 3
Direct
0.454 0.454 0.638
0.546 0.546 0.362
0.818 0.818 0.547
0.090 0.090 0.729
0.182 0.182 0.453
0.637 0.637 0.090
0.363 0.363 0.910
0.910 0.910 0.271
0.000 0.000 0.000
0.273 0.273 0.181
0.727 0.727 0.819
```

Values from the calculation:
excess energy over the best structure of this formula in the dataset = 0.0 meV/atom
energy of formation from the pure elements = 13 meV per atom

4.
Material: Ba4CuTe
Method: DFT, PBE
State: optimized geometry

Geometry as POSCAR:
```
Ba4CuTe
1.0
0.000 5.123 5.123
5.123 0.000 5.123
5.123 5.123 0.000
Te Ba Cu
1 4 1
Direct
0.000 0.000 0.000
0.374 0.878 0.374
0.374 0.374 0.374
0.878 0.374 0.374
0.374 0.374 0.878
0.750 0.750 0.750
```

Values from the calculation:
energy relative to the elements, uncorrected = 0.267 eV/atom

5.
Material: Dy4Tm3Zn4
Method: DFT, PBE
State: optimized geometry

Geometry as POSCAR:
```
Dy4Tm3Zn4
1.0
5.060 0.000 0.000
0.000 6.842 0.000
-2.530 -3.421 8.073
Dy Zn Tm
4 4 3
Direct
0.321 0.087 0.641
0.321 0.554 0.641
0.679 0.446 0.359
0.679 0.913 0.359
0.500 0.186 0.000
0.500 0.814 0.000
0.822 0.322 0.643
0.178 0.678 0.357
0.000 0.500 0.000
0.900 0.900 0.799
0.100 0.100 0.201
```

Values from the calculation:
energy of formation from the pure elements = -113 meV per atom

6.
Material: Pu2Hg2Pb
Method: DFT, PBE
State: optimized geometry

Geometry as POSCAR:
```
Pu2Hg2Pb
1.0
-0.162 -3.131 0.682
-2.329 -0.835 -4.387
8.228 -0.718 -1.344
Hg Pb Pu
2 1 2
Direct
0.000 0.798 0.597
0.000 0.202 0.403
0.000 0.000 0.000
0.500 0.612 0.224
0.500 0.388 0.776
```

Values from the calculation:
excess energy over the best structure of this formula in the dataset = 0.0 meV/atom
energy of formation from the pure elements = -157 meV per atom

7.
Material: NaTc4As2
Method: DFT, PBE
State: optimized geometry

Geometry as POSCAR:
```
NaTc4As2
1.0
4.087 0.000 0.000
0.000 4.029 -0.888
0.000 -0.443 7.577
Tc As Na
4 2 1
Direct
0.000 0.699 0.399
0.500 0.806 0.612
0.500 0.194 0.388
0.000 0.301 0.601
0.500 0.589 0.178
0.500 0.411 0.822
0.000 0.000 0.000
```

Values from the calculation:
energy of formation from the pure elements = -188 meV per atom

8.
Material: VGe3
Method: DFT, PBE
State: optimized geometry

Geometry as POSCAR:
```
VGe3
1.0
-3.052 -1.018 -0.877
0.460 -3.781 2.789
-1.662 2.190 3.243
Ge V
3 1
Direct
0.500 0.000 0.506
0.500 0.500 0.827
0.000 0.500 0.307
0.000 0.000 0.027
```

Values from the calculation:
energy of formation from the pure elements = 238 meV per atom